DFT (GGA-PBE) results for a relaxed AlTcW crystal.

Results
* space group: F-43m (216)
* ΔE to the lowest computed polymorph: 0.000 eV per atom
* calculated density: 9.6 Mg/m³
* M_tot: 0.00 μB per formula unit

Lattice parameters (Å, degrees): 4.225 4.225 4.225 60.00 60.00 60.00
Fractional coordinates of all 3 atoms:
W 0.750 0.750 0.750
Tc 0.000 0.000 0.000
Al 0.250 0.250 0.250